{"formula": "Ba6NiPtAu2", "functional": "PBE-GGA", "state": "optimized geometry", "dos_at_fermi_per_ev_cell": 5.5, "formation_energy_ev_per_atom": -0.433, "crystal_system": "trigonal", "lattice": [[-7.270, -1.426, 3.257], [-6.084, -2.607, -4.656], [-2.461, -8.412, 0.886]], "species": ["Ba", "Ba", "Ba", "Ba", "Ba", "Ba", "Ni", "Au", "Au", "Pt"], "fractional_positions": [[0.939, 0.587, 0.257], [0.438, 0.718, 0.757], [0.718, 0.087, 0.757], [0.218, 0.938, 0.257], [0.087, 0.438, 0.757], [0.587, 0.218, 0.257], [0.328, 0.328, 0.015], [0.510, 0.509, 0.472], [0.010, 0.010, 0.970], [0.827, 0.828, 0.517]]}

{"formula": "BaSiNiAu2", "functional": "PBE-GGA", "state": "optimized geometry", "dos_at_fermi_per_ev_cell": 1.1, "crystal_system": "tetragonal", "e_tot_ev_per_atom": -4.2384, "lattice": [[5.008, 0.000, 0.000], [0.000, 4.568, 0.000], [0.000, 0.000, 5.008]], "species": ["Au", "Au", "Ba", "Si", "Ni"], "fractional_positions": [[0.500, 0.000, 0.000], [0.000, 0.000, 0.500], [0.500, 0.500, 0.500], [0.000, 0.000, 0.000], [0.000, 0.500, 0.000]]}

{"formula": "BaTcNi2Au", "functional": "PBE-GGA", "state": "optimized geometry", "dos_at_fermi_per_ev_cell": 5.0, "formation_energy_ev_per_atom": 2.089, "crystal_system": "tetragonal", "lattice": [[-3.974, -0.237, 2.821], [-1.443, -5.022, -2.456], [2.554, -2.395, 3.397]], "species": ["Ni", "Ni", "Au", "Tc", "Ba"], "fractional_positions": [[0.500, 0.000, 0.000], [0.000, 0.000, 0.500], [0.000, 0.500, 0.000], [0.500, 0.500, 0.500], [0.000, 0.000, 0.000]]}

{"formula": "BaTl2NiAu", "functional": "PBE-GGA", "state": "optimized geometry", "dos_at_fermi_per_ev_cell": 3.3, "formation_energy_ev_per_atom": -0.201, "crystal_system": "tetragonal", "lattice": [[-4.721, 0.947, -1.602], [-1.861, -2.328, 4.107], [0.033, 4.598, 2.622]], "species": ["Tl", "Tl", "Ni", "Au", "Ba"], "fractional_positions": [[0.000, 0.500, 0.000], [0.500, 0.000, 0.000], [0.000, 0.000, 0.000], [0.000, 0.000, 0.500], [0.500, 0.500, 0.500]]}

{"formula": "Ba2VNiAu", "functional": "PBE-GGA", "state": "optimized geometry", "dos_at_fermi_per_ev_cell": 3.7, "formation_energy_ev_per_atom": 0.461, "crystal_system": "tetragonal", "lattice": [[5.894, 0.000, 0.000], [0.000, 4.834, 0.000], [0.000, 0.000, 5.894]], "species": ["Ba", "Ba", "Au", "V", "Ni"], "fractional_positions": [[0.000, 0.000, 0.500], [0.500, 0.000, 0.000], [0.000, 0.500, 0.000], [0.500, 0.500, 0.500], [0.000, 0.000, 0.000]]}

{"formula": "BaYNi2Au", "functional": "PBE-GGA", "state": "optimized geometry", "dos_at_fermi_per_ev_cell": 6.9, "formation_energy_ev_per_atom": 0.706, "crystal_system": "tetragonal", "lattice": [[4.997, 0.000, 0.000], [0.000, 5.560, 0.000], [0.000, 0.000, 4.997]], "species": ["Ni", "Ni", "Ba", "Y", "Au"], "fractional_positions": [[0.000, 0.000, 0.500], [0.500, 0.000, 0.000], [0.000, 0.500, 0.000], [0.500, 0.500, 0.500], [0.000, 0.000, 0.000]]}

{"formula": "BaZn2NiAu", "functional": "PBE-GGA", "state": "optimized geometry", "dos_at_fermi_per_ev_cell": 2.2, "formation_energy_ev_per_atom": -0.259, "crystal_system": "tetragonal", "lattice": [[4.700, 0.000, 0.000], [0.000, 4.700, 0.000], [0.000, 0.000, 5.205]], "species": ["Ni", "Ba", "Au", "Zn", "Zn"], "fractional_positions": [[0.000, 0.000, 0.000], [0.500, 0.500, 0.500], [0.000, 0.000, 0.500], [0.000, 0.500, 0.000], [0.500, 0.000, 0.000]]}

{"formula": "BaZnNiAu2", "functional": "PBE-GGA", "state": "optimized geometry", "dos_at_fermi_per_ev_cell": 3.2, "formation_energy_ev_per_atom": -0.289, "crystal_system": "tetragonal", "lattice": [[5.078, 0.000, 0.000], [0.000, 5.078, 0.000], [0.000, 0.000, 4.651]], "species": ["Zn", "Ni", "Au", "Au", "Ba"], "fractional_positions": [[0.000, 0.000, 0.500], [0.000, 0.000, 0.000], [0.000, 0.500, 0.000], [0.500, 0.000, 0.000], [0.500, 0.500, 0.500]]}

{"formula": "BaNpAu10", "functional": "PBE-GGA", "state": "optimized geometry", "dos_at_fermi_per_ev_cell": 16.3, "formation_energy_ev_per_atom": -0.233, "crystal_system": "orthorhombic", "lattice": [[-2.787, -1.092, 3.619], [-3.577, -2.595, -3.538], [4.961, -8.537, 1.245]], "species": ["Au", "Au", "Au", "Au", "Au", "Au", "Au", "Au", "Au", "Au", "Ba", "Np"], "fractional_positions": [[0.000, 0.500, 0.844], [0.000, 0.000, 0.319], [0.500, 0.500, 0.000], [0.500, 0.000, 0.500], [0.000, 0.000, 0.681], [0.500, 0.247, 0.756], [0.500, 0.247, 0.244], [0.500, 0.753, 0.756], [0.000, 0.500, 0.156], [0.500, 0.753, 0.244], [0.000, 0.500, 0.500], [0.000, 0.000, 0.000]]}

{"formula": "BaNpAuO6", "functional": "PBE-GGA", "state": "optimized geometry", "crystal_system": "triclinic", "e_tot_ev_per_atom": -7.2718, "lattice": [[5.538, 0.356, -0.110], [3.075, 5.323, -0.221], [-0.130, -0.230, 5.729]], "species": ["Ba", "O", "O", "O", "O", "O", "O", "Au", "Np"], "fractional_positions": [[0.065, 0.967, 0.000], [0.362, 0.009, 0.668], [0.362, 0.628, 0.332], [0.597, 0.317, 0.738], [0.005, 0.367, 0.298], [0.599, 0.085, 0.263], [0.003, 0.629, 0.702], [0.666, 0.667, 0.500], [0.340, 0.330, 0.500]]}

{"formula": "Ba2NpAu2S6", "functional": "PBE-GGA", "state": "optimized geometry", "dos_at_fermi_per_ev_cell": 5.8, "crystal_system": "trigonal", "e_tot_ev_per_atom": -5.3881, "lattice": [[7.542, 0.000, 0.000], [3.771, 6.532, 0.000], [3.771, 2.177, 6.176]], "species": ["S", "S", "S", "S", "S", "S", "Ba", "Ba", "Au", "Au", "Np"], "fractional_positions": [[0.762, 0.215, 0.262], [0.762, 0.762, 0.262], [0.785, 0.238, 0.738], [0.238, 0.238, 0.738], [0.215, 0.762, 0.262], [0.238, 0.785, 0.738], [0.773, 0.773, 0.682], [0.227, 0.227, 0.318], [0.416, 0.416, 0.752], [0.584, 0.584, 0.248], [0.000, 0.000, 0.000]]}

{"formula": "Ba3NpAu2S6", "functional": "PBE-GGA", "state": "optimized geometry", "dos_at_fermi_per_ev_cell": 5.3, "crystal_system": "trigonal", "e_tot_ev_per_atom": -5.3020, "lattice": [[7.109, 0.000, 0.000], [-3.554, 6.156, 0.000], [0.000, 0.000, 7.865]], "species": ["S", "S", "S", "S", "S", "S", "Au", "Au", "Np", "Ba", "Ba", "Ba"], "fractional_positions": [[0.833, 0.665, 0.691], [0.167, 0.335, 0.309], [0.335, 0.167, 0.691], [0.665, 0.833, 0.309], [0.167, 0.833, 0.309], [0.833, 0.167, 0.691], [0.333, 0.667, 0.107], [0.667, 0.333, 0.893], [0.000, 0.000, 0.500], [0.667, 0.333, 0.358], [0.333, 0.667, 0.642], [0.000, 0.000, 0.000]]}

{"formula": "Ba2NpSb4Au3", "functional": "PBE-GGA", "state": "optimized geometry", "dos_at_fermi_per_ev_cell": 14.4, "crystal_system": "tetragonal", "e_tot_ev_per_atom": -4.8092, "lattice": [[-0.471, 4.549, -1.894], [-2.015, 1.559, 4.245], [10.928, 2.856, 4.139]], "species": ["Au", "Au", "Au", "Ba", "Ba", "Sb", "Sb", "Sb", "Sb", "Np"], "fractional_positions": [[0.000, 0.000, 0.500], [0.000, 0.500, 0.120], [0.500, 0.000, 0.880], [0.500, 0.000, 0.230], [0.000, 0.500, 0.770], [0.500, 0.000, 0.649], [0.000, 0.500, 0.351], [0.500, 0.500, 0.000], [0.000, 0.000, 0.000], [0.500, 0.500, 0.500]]}

{"formula": "BaNp4Au3Se12", "functional": "PBE-GGA", "state": "optimized geometry", "dos_at_fermi_per_ev_cell": 51.3, "crystal_system": "cubic", "e_tot_ev_per_atom": -6.0160, "lattice": [[-1.011, 7.490, 4.865], [-5.523, 0.262, -7.086], [-1.970, -7.155, 5.071]], "species": ["Se", "Se", "Se", "Se", "Se", "Se", "Se", "Se", "Se", "Se", "Se", "Se", "Np", "Np", "Np", "Np", "Au", "Au", "Au", "Ba"], "fractional_positions": [[0.835, 0.145, 0.310], [0.835, 0.524, 0.690], [0.524, 0.690, 0.835], [0.855, 0.690, 0.165], [0.690, 0.835, 0.524], [0.165, 0.476, 0.310], [0.145, 0.310, 0.835], [0.310, 0.165, 0.476], [0.690, 0.165, 0.855], [0.310, 0.835, 0.145], [0.476, 0.310, 0.165], [0.165, 0.855, 0.690], [0.000, 0.000, 0.500], [0.500, 0.500, 0.500], [0.500, 0.000, 0.000], [0.000, 0.500, 0.000], [0.500, 0.000, 0.500], [0.500, 0.500, 0.000], [0.000, 0.500, 0.500], [0.000, 0.000, 0.000]]}

{"formula": "BaNpAuSe4", "functional": "PBE-GGA", "state": "optimized geometry", "dos_at_fermi_per_ev_cell": 19.4, "crystal_system": "monoclinic", "e_tot_ev_per_atom": -5.5954, "lattice": [[-0.139, 6.634, -3.339], [-5.698, 0.517, 1.264], [2.090, 0.799, 9.094]], "species": ["Se", "Se", "Se", "Se", "Se", "Se", "Se", "Se", "Au", "Au", "Np", "Np", "Ba", "Ba"], "fractional_positions": [[0.044, 0.984, 0.710], [0.461, 0.750, 0.135], [0.956, 0.016, 0.290], [0.426, 0.750, 0.580], [0.956, 0.484, 0.290], [0.044, 0.516, 0.710], [0.574, 0.250, 0.420], [0.539, 0.250, 0.865], [0.773, 0.250, 0.732], [0.227, 0.750, 0.268], [0.725, 0.750, 0.448], [0.275, 0.250, 0.552], [0.742, 0.750, 0.941], [0.258, 0.250, 0.059]]}

{"formula": "Ba2NpAuSe5", "functional": "PBE-GGA", "state": "optimized geometry", "dos_at_fermi_per_ev_cell": 14.6, "crystal_system": "orthorhombic", "e_tot_ev_per_atom": -5.4604, "lattice": [[4.295, 0.000, 0.000], [-2.147, 9.459, 0.000], [0.000, 0.000, 13.258]], "species": ["Se", "Se", "Se", "Se", "Se", "Se", "Se", "Se", "Se", "Se", "Ba", "Ba", "Ba", "Ba", "Np", "Np", "Au", "Au"], "fractional_positions": [[0.702, 0.405, 0.876], [0.297, 0.594, 0.659], [0.055, 0.111, 0.043], [0.298, 0.595, 0.376], [0.656, 0.311, 0.513], [0.703, 0.406, 0.159], [0.945, 0.889, 0.543], [0.344, 0.689, 0.013], [0.499, 0.998, 0.760], [0.501, 0.002, 0.260], [0.882, 0.763, 0.827], [0.118, 0.237, 0.327], [0.881, 0.763, 0.197], [0.119, 0.237, 0.697], [0.199, 0.398, 0.019], [0.801, 0.602, 0.519], [0.562, 0.124, 0.931], [0.438, 0.876, 0.431]]}

{"formula": "Ba2NpTe5Au", "functional": "PBE-GGA", "state": "optimized geometry", "dos_at_fermi_per_ev_cell": 18.7, "crystal_system": "orthorhombic", "e_tot_ev_per_atom": -4.9759, "lattice": [[4.552, 0.000, 0.000], [-2.276, 10.122, 0.000], [0.000, 0.000, 13.947]], "species": ["Te", "Te", "Te", "Te", "Te", "Te", "Te", "Te", "Te", "Te", "Ba", "Ba", "Ba", "Ba", "Np", "Np", "Au", "Au"], "fractional_positions": [[0.703, 0.405, 0.870], [0.297, 0.595, 0.370], [0.500, 0.001, 0.757], [0.303, 0.606, 0.667], [0.657, 0.313, 0.515], [0.697, 0.394, 0.167], [0.343, 0.687, 0.015], [0.045, 0.090, 0.036], [0.500, 0.999, 0.257], [0.955, 0.910, 0.536], [0.116, 0.232, 0.332], [0.877, 0.754, 0.200], [0.884, 0.768, 0.832], [0.123, 0.246, 0.700], [0.806, 0.612, 0.520], [0.194, 0.388, 0.020], [0.432, 0.863, 0.428], [0.568, 0.137, 0.928]]}

{"formula": "Ba2AuO2", "functional": "PBE-GGA", "state": "optimized geometry", "dos_at_fermi_per_ev_cell": 3.7, "polymorph_energy_ev_per_atom": 0.113, "crystal_system": "tetragonal", "lattice": [[-2.068, -6.829, 2.850], [5.358, 0.659, 5.468], [-2.375, 1.610, 2.134]], "species": ["O", "O", "O", "O", "Ba", "Ba", "Ba", "Ba", "Au", "Au"], "fractional_positions": [[0.843, 0.657, 0.000], [0.343, 0.843, 0.000], [0.157, 0.343, 0.000], [0.657, 0.157, 0.000], [0.340, 0.160, 0.500], [0.160, 0.660, 0.500], [0.660, 0.840, 0.500], [0.840, 0.340, 0.500], [0.000, 0.000, 0.000], [0.500, 0.500, 0.000]]}

{"formula": "BaAuO", "functional": "PBE-GGA", "state": "optimized geometry", "dos_at_fermi_per_ev_cell": 5.6, "polymorph_energy_ev_per_atom": 0.322, "crystal_system": "orthorhombic", "lattice": [[-2.564, -4.302, 1.473], [0.301, -2.081, -5.552], [8.067, -4.128, 1.985]], "species": ["Au", "Au", "Au", "Au", "O", "O", "O", "O", "Ba", "Ba", "Ba", "Ba"], "fractional_positions": [[0.500, 0.000, 0.000], [0.000, 0.500, 0.500], [0.500, 0.500, 0.500], [0.000, 0.000, 0.000], [0.250, 0.616, 0.865], [0.750, 0.384, 0.135], [0.750, 0.116, 0.635], [0.250, 0.884, 0.365], [0.750, 0.469, 0.843], [0.250, 0.531, 0.157], [0.250, 0.969, 0.657], [0.750, 0.031, 0.343]]}

{"formula": "BaAuO", "functional": "PBE-GGA", "state": "optimized geometry", "dos_at_fermi_per_ev_cell": 0.0, "polymorph_energy_ev_per_atom": 0.024, "crystal_system": "monoclinic", "lattice": [[8.464, 0.000, 0.000], [0.000, 5.596, 0.000], [-0.624, 0.000, 6.421]], "species": ["Ba", "Ba", "Ba", "Ba", "O", "O", "O", "O", "Au", "Au", "Au", "Au"], "fractional_positions": [[0.329, 0.000, 0.687], [0.329, 0.500, 0.187], [0.671, 0.000, 0.313], [0.671, 0.500, 0.813], [0.636, 0.500, 0.213], [0.364, 0.000, 0.287], [0.364, 0.500, 0.787], [0.636, 0.000, 0.713], [0.128, 0.500, 0.620], [0.872, 0.000, 0.880], [0.872, 0.500, 0.380], [0.128, 0.000, 0.120]]}